Computed, not measured: a PBEsol-optimized structure of Ti2TcGe2 at the SCAN level of DFT.

Output
Its density of states at the Fermi level is 6.09 states/eV per cell. The magnetization is 0.0 μB/f.u. Its formation energy is -327 kJ/mol of formula units. As for the total energy: -217.37 eV/cell. Its symmetry is P4/mbm (127).

Cell lengths 6.4903, 6.4903, 3.5489 Å; angles 90.00, 90.00, 90.00 degrees
Last column: nearest neighbours and their distance in Å.
Element x y z (fractional)
Ti  0.1673  0.3327  0.0000  6 Ge 2.53-2.66
Ti  0.3327  0.8327  0.0000  6 Ge 2.53-2.66
Ti  0.6673  0.1673  0.0000  6 Ge 2.53-2.66
Ti  0.8327  0.6673  0.0000  6 Ge 2.53-2.66
Tc  0.0000  0.0000  0.5000  4 Ge 2.52
Tc  0.5000  0.5000  0.5000  4 Ge 2.52
Ge  0.1359  0.6359  0.5000  1 Ge 2.49, 2 Tc 2.52, 6 Ti 2.53-2.66
Ge  0.3641  0.1359  0.5000  1 Ge 2.49, 2 Tc 2.52, 6 Ti 2.53-2.66
Ge  0.6359  0.8641  0.5000  1 Ge 2.49, 2 Tc 2.52, 6 Ti 2.53-2.66
Ge  0.8641  0.3641  0.5000  1 Ge 2.49, 2 Tc 2.52, 6 Ti 2.53-2.66

Computed, not measured: a PBEsol-optimized structure of Y2HfO5 at the SCAN level of DFT.

Output
The uncorrected formation energy is -3.888 eV per atom. Its density of states at the Fermi level is 0.00 states/eV per cell. The magnetization is 0.0 μB/f.u. As for the total energy: -361.24 eV/cell. Its symmetry is Cmcm (63).

Cell lengths 5.9237, 5.9237, 10.7532 Å; angles 90.00, 90.00, 139.87 degrees
Last column: nearest neighbours and their distance in Å.
Element x y z (fractional)
Y  0.1394  0.8606  0.5660  6 O 2.17-2.42
Y  0.1394  0.8606  0.9340  6 O 2.17-2.42
Y  0.8606  0.1394  0.0660  6 O 2.17-2.42
Y  0.8606  0.1394  0.4340  6 O 2.17-2.42
Hf  0.1776  0.8224  0.2500  6 O 2.01-2.15
Hf  0.8224  0.1776  0.7500  6 O 2.01-2.15
O  0.0485  0.9515  0.1191  1 Hf 2.01, 2 Y 2.17-2.23
O  0.0485  0.9515  0.3809  1 Hf 2.01, 2 Y 2.17-2.23
O  0.2652  0.7348  0.7500  2 Hf 2.13
O  0.2905  0.7095  0.0875  1 Hf 2.15, 3 Y 2.19-2.36
O  0.2905  0.7095  0.4125  1 Hf 2.15, 3 Y 2.19-2.36
O  0.7095  0.2905  0.5875  1 Hf 2.15, 3 Y 2.19-2.36
O  0.7095  0.2905  0.9125  1 Hf 2.15, 3 Y 2.19-2.36
O  0.7348  0.2652  0.2500  2 Hf 2.13
O  0.9515  0.0485  0.6191  1 Hf 2.01, 2 Y 2.17-2.23
O  0.9515  0.0485  0.8809  1 Hf 2.01, 2 Y 2.17-2.23

Computed, not measured: a PBEsol-optimized structure of BeSb2AuI at the SCAN level of DFT.

Output
The uncorrected formation energy is 1.600 eV per atom. Its density of states at the Fermi level is 5.11 states/eV per cell. The magnetization is 0.0 μB/f.u. As for the total energy: -176.77 eV/cell. Its symmetry is P4/mmm (123).

Cell lengths 5.7625, 5.7625, 5.0842 Å; angles 90.00, 90.00, 90.00 degrees
Last column: nearest neighbours and their distance in Å.
Element x y z (fractional)
Be  0.0000  0.0000  0.0000  8 Sb 3.84, 4 Au 4.07
Sb  0.0000  0.5000  0.5000  2 I 2.88
Sb  0.5000  0.0000  0.5000  2 I 2.88
Au  0.5000  0.5000  0.0000  2 I 2.54
I  0.5000  0.5000  0.5000  2 Au 2.54

Computed, not measured: a PBEsol-optimized structure of Ba3NbZn at the SCAN level of DFT.

Output
Its density of states at the Fermi level is 3.68 states/eV per cell. The magnetization is 4.8 μB/f.u. Its formation energy is 359 kJ/mol of formula units. As for the total energy: -161.58 eV/cell. Its symmetry is Pm-3m (221).

Cell lengths 6.1337, 6.1337, 6.1337 Å; angles 90.00, 90.00, 90.00 degrees
Last column: nearest neighbours and their distance in Å.
Element x y z (fractional)
Ba  0.0000  0.0000  0.5000  2 Zn 3.07
Ba  0.0000  0.5000  0.0000  2 Zn 3.07
Ba  0.5000  0.0000  0.0000  2 Zn 3.07
Nb  0.5000  0.5000  0.5000  12 Ba 4.34
Zn  0.0000  0.0000  0.0000  6 Ba 3.07

Computed, not measured: a PBEsol-optimized structure of KRbPS2 at the SCAN level of DFT.

Output
The uncorrected formation energy is 0.566 eV per atom. Its density of states at the Fermi level is 2.66 states/eV per cell. The magnetization is 5.0 μB/f.u. As for the total energy: -55.89 eV/cell. Its symmetry is P4/mmm (123).

Cell lengths 5.9097, 5.9097, 6.1465 Å; angles 90.00, 90.00, 90.00 degrees
Last column: nearest neighbours and their distance in Å.
Element x y z (fractional)
K  0.0000  0.0000  0.0000  4 P 4.18, 8 S 4.26
Rb  0.5000  0.5000  0.5000  4 S 2.95, 2 P 3.07
P  0.5000  0.5000  0.0000  2 Rb 3.07
S  0.0000  0.5000  0.5000  2 Rb 2.95
S  0.5000  0.0000  0.5000  2 Rb 2.95

Computed, not measured: a PBEsol-optimized structure of Ca2IrPtO6 at the SCAN level of DFT.

Output
The uncorrected formation energy is -1.876 eV per atom. Its density of states at the Fermi level is 1.02 states/eV per cell. The magnetization is 1.0 μB/f.u. As for the total energy: -216.77 eV/cell. Its symmetry is C2/m (12).

Cell lengths 5.1291, 5.1291, 7.2998 Å; angles 90.13, 90.13, 35.97 degrees
Last column: nearest neighbours and their distance in Å.
Element x y z (fractional)
Ca  0.2485  0.2485  0.2537  8 O 2.29-2.50
Ca  0.7515  0.7515  0.7463  8 O 2.29-2.50
Ir  0.0000  0.0000  0.5000  6 O 1.98-2.03
Pt  0.0000  0.0000  0.0000  6 O 2.01-2.05
O  0.0823  0.0823  0.7477  1 Ir 1.98, 1 Pt 2.01
O  0.3707  0.3707  0.9553  2 Pt 2.05
O  0.3757  0.3757  0.5518  2 Ir 2.03
O  0.6243  0.6243  0.4482  2 Ir 2.03
O  0.6293  0.6293  0.0447  2 Pt 2.05
O  0.9177  0.9177  0.2523  1 Ir 1.98, 1 Pt 2.01

Computed, not measured: a PBEsol-optimized structure of MnAlCu3 at the SCAN level of DFT.

Output
Its density of states at the Fermi level is 1.65 states/eV per cell. The magnetization is 4.5 μB/f.u. Its formation energy is 302 kJ/mol of formula units. As for the total energy: -68.48 eV/cell. Its symmetry is Pm-3m (221).

Cell lengths 4.3493, 4.3493, 4.3493 Å; angles 90.00, 90.00, 90.00 degrees
Last column: nearest neighbours and their distance in Å.
Element x y z (fractional)
Mn  0.0000  0.0000  0.0000  12 Cu 3.08
Al  0.5000  0.5000  0.5000  6 Cu 2.17
Cu  0.0000  0.5000  0.5000  2 Al 2.17
Cu  0.5000  0.0000  0.5000  2 Al 2.17
Cu  0.5000  0.5000  0.0000  2 Al 2.17

Computed, not measured: a PBEsol-optimized structure of Li3InF at the SCAN level of DFT.

Output
The uncorrected formation energy is -1.284 eV per atom. Its density of states at the Fermi level is 1.63 states/eV per cell. The magnetization is 0.0 μB/f.u. As for the total energy: -50.52 eV/cell. Its symmetry is Pm-3m (221).

Cell lengths 4.1483, 4.1483, 4.1483 Å; angles 90.00, 90.00, 90.00 degrees
Last column: nearest neighbours and their distance in Å.
Element x y z (fractional)
Li  0.0000  0.0000  0.5000  2 F 2.07
Li  0.0000  0.5000  0.0000  2 F 2.07
Li  0.5000  0.0000  0.0000  2 F 2.07
In  0.5000  0.5000  0.5000  12 Li 2.93
F  0.0000  0.0000  0.0000  6 Li 2.07

Computed, not measured: a PBEsol-optimized structure of Tl2AsCl at the SCAN level of DFT.

Output
The uncorrected formation energy is -0.286 eV per atom. Its density of states at the Fermi level is 1.37 states/eV per cell. The magnetization is 0.0 μB/f.u. As for the total energy: -174.03 eV/cell. Its symmetry is Amm2 (38).

Cell lengths 5.2478, 5.8565, 5.8565 Å; angles 33.62, 90.00, 90.00 degrees
Last column: nearest neighbours and their distance in Å.
Element x y z (fractional)
Tl  0.0000  0.0000  0.0000  3 Cl 2.88-3.21, 4 As 3.12
Tl  0.5000  0.2403  0.2403  3 As 2.97-3.13, 4 Cl 3.12
As  0.5000  0.5054  0.5054  7 Tl 2.97-3.13
Cl  0.0000  0.7430  0.7430  7 Tl 2.88-3.21

Computed, not measured: a PBEsol-optimized structure of Ni5Ir4 at the SCAN level of DFT.

Output
Its density of states at the Fermi level is 10.36 states/eV per cell. The magnetization is 4.5 μB/f.u. Its formation energy is 40 kJ/mol of formula units. As for the total energy: -364.85 eV/cell. Its symmetry is I4/mmm (139).

Cell lengths 5.7345, 5.7345, 5.7345 Å; angles 95.99, 95.99, 142.30 degrees
Last column: nearest neighbours and their distance in Å.
Element x y z (fractional)
Ni  0.0000  0.0000  0.0000  4 Ir 2.51, 8 Ni 2.58
Ni  0.3347  0.3347  0.6694  6 Ni 2.54-2.61, 6 Ir 2.57
Ni  0.3347  0.6653  0.0000  6 Ni 2.54-2.61, 6 Ir 2.57
Ni  0.6653  0.3347  0.0000  6 Ni 2.54-2.61, 6 Ir 2.57
Ni  0.6653  0.6653  0.3306  6 Ni 2.54-2.61, 6 Ir 2.57
Ir  0.0000  0.3270  0.3270  7 Ni 2.51-2.57, 5 Ir 2.64-2.66
Ir  0.0000  0.6730  0.6730  7 Ni 2.51-2.57, 5 Ir 2.64-2.66
Ir  0.3270  0.0000  0.3270  7 Ni 2.51-2.57, 5 Ir 2.64-2.66
Ir  0.6730  0.0000  0.6730  7 Ni 2.51-2.57, 5 Ir 2.64-2.66

Computed, not measured: a PBEsol-optimized structure of SrHf3Cl at the SCAN level of DFT.

Output
The uncorrected formation energy is 0.255 eV per atom. Its density of states at the Fermi level is 5.80 states/eV per cell. The magnetization is 0.0 μB/f.u. As for the total energy: -217.00 eV/cell. Its symmetry is Pm-3m (221).

Cell lengths 4.8956, 4.8956, 4.8956 Å; angles 90.00, 90.00, 90.00 degrees
Last column: nearest neighbours and their distance in Å.
Element x y z (fractional)
Sr  0.0000  0.0000  0.0000  12 Hf 3.46
Hf  0.0000  0.5000  0.5000  2 Cl 2.45
Hf  0.5000  0.0000  0.5000  2 Cl 2.45
Hf  0.5000  0.5000  0.0000  2 Cl 2.45
Cl  0.5000  0.5000  0.5000  6 Hf 2.45

Computed, not measured: a PBEsol-optimized structure of SrZn2Ni at the SCAN level of DFT.

Output
Its density of states at the Fermi level is 4.26 states/eV per cell. The magnetization is 0.0 μB/f.u. Its formation energy is -95 kJ/mol of formula units. As for the total energy: -132.93 eV/cell. Its symmetry is Cmcm (63).

Cell lengths 5.7101, 5.7101, 7.2408 Å; angles 90.00, 90.00, 139.04 degrees
Last column: nearest neighbours and their distance in Å.
Element x y z (fractional)
Sr  0.0470  0.9530  0.7500  3 Ni 2.95-3.12, 2 Zn 3.20
Sr  0.9530  0.0470  0.2500  3 Ni 2.95-3.12, 2 Zn 3.20
Zn  0.3189  0.6811  0.5646  3 Ni 2.46-2.47, 3 Zn 2.65-2.68
Zn  0.3189  0.6811  0.9354  3 Ni 2.46-2.47, 3 Zn 2.65-2.68
Zn  0.6811  0.3189  0.0646  3 Ni 2.46-2.47, 3 Zn 2.65-2.68
Zn  0.6811  0.3189  0.4354  3 Ni 2.46-2.47, 3 Zn 2.65-2.68
Ni  0.2286  0.7714  0.2500  6 Zn 2.46-2.47
Ni  0.7714  0.2286  0.7500  6 Zn 2.46-2.47

Computed, not measured: a PBEsol-optimized structure of KBa4Ag at the SCAN level of DFT.

Output
Its density of states at the Fermi level is 4.45 states/eV per cell. The magnetization is 4.0 μB/f.u. Its formation energy is 260 kJ/mol of formula units. As for the total energy: -195.20 eV/cell. Its symmetry is F-43m (216).

Cell lengths 7.6887, 7.6887, 7.6887 Å; angles 60.00, 60.00, 60.00 degrees
Last column: nearest neighbours and their distance in Å.
Element x y z (fractional)
K  0.0000  0.0000  0.0000  12 Ba 4.51, 4 Ag 4.71
Ba  0.3760  0.3760  0.3760  6 Ba 3.81-3.87
Ba  0.3760  0.3760  0.8721  6 Ba 3.81-3.87
Ba  0.3760  0.8721  0.3760  6 Ba 3.81-3.87
Ba  0.8721  0.3760  0.3760  6 Ba 3.81-3.87
Ag  0.7500  0.7500  0.7500  12 Ba 4.50, 4 K 4.71

Computed, not measured: a PBEsol-optimized structure of ZnCdC4S4N4 at the SCAN level of DFT.

Output
The uncorrected formation energy is 0.017 eV per atom. Its density of states at the Fermi level is 0.00 states/eV per cell. The magnetization is 0.0 μB/f.u. As for the total energy: -159.77 eV/cell. Its symmetry is I-4 (82).

Cell lengths 8.1437, 8.1437, 8.1437 Å; angles 94.57, 94.57, 147.20 degrees
Last column: nearest neighbours and their distance in Å.
Element x y z (fractional)
Zn  0.0000  0.0000  0.0000  4 N 1.94
Cd  0.2500  0.7500  0.5000  4 S 2.55
C  0.2950  0.5916  0.1552  1 N 1.18
C  0.4084  0.5636  0.7034  1 N 1.18
C  0.4364  0.1398  0.8448  1 N 1.18
C  0.8602  0.7050  0.2966  1 N 1.18
S  0.0999  0.3316  0.5440  1 C 1.64
S  0.4441  0.9001  0.2317  1 C 1.64
S  0.6684  0.2124  0.7683  1 C 1.64
S  0.7876  0.5559  0.4560  1 C 1.64
N  0.1906  0.3729  0.0959  1 C 1.18
N  0.2770  0.0948  0.9041  1 C 1.18
N  0.6271  0.7230  0.8178  1 C 1.18
N  0.9052  0.8094  0.1822  1 C 1.18